Cs4PAu after structural relaxation, computed with PBE-GGA.

abc: 11.493 15.886 8.524
angles: 90.00 125.77 90.00
Space group C2/c (No. 15)
Inequivalent atoms, fractional coordinates:
Cs: 0.134 0.181 0.070 x8
Cs: 0.185 0.450 0.236 x8
P: 0.000 0.366 0.750 x4
Au: 0.000 0.018 0.250 x4

Summary:
crystal system: monoclinic
N(E_F): 1.16 states/eV per cell
electronic total energy: -53.7 eV/cell
energy of formation: -0.222 eV per atom

---

CsP12Au4 after structural relaxation, computed with PBE-GGA.

abc: 11.9028 11.9028 8.1669
angles: 90.00 90.00 120.00
Space group R-3 (No. 148, hexagonal axes)
Inequivalent atoms, fractional coordinates:
Cs: 0.0000 0.0000 0.0000 x3
P: 0.0325 0.8309 0.3344 x18
P: 0.0452 0.4562 0.8463 x18
Au: 0.0000 0.0000 0.5000 x3
Au: 0.0000 0.5000 0.5000 x9

Summary:
crystal system: trigonal
N(E_F): 16.75 states/eV per cell
electronic total energy: -236.4 eV/cell
energy of formation: 0.005 eV per atom

---

Cs2P2Au5 after structural relaxation, computed with PBE-GGA.

abc: 4.621 7.182 9.039
angles: 83.95 88.30 71.94
Space group P-1 (No. 2)
Inequivalent atoms, fractional coordinates:
Cs: 0.138 0.249 0.297 x2
P: 0.446 0.777 0.132 x2
Au: 0.098 0.136 0.894 x2
Au: 0.447 0.627 0.379 x2
Au: 0.500 0.500 0.000 x1

Summary:
crystal system: triclinic
N(E_F): 2.21 states/eV per cell
electronic total energy: -31.5 eV/cell
energy of formation: -0.287 eV per atom

---

CsPAu4 after structural relaxation, computed with PBE-GGA.

abc: 4.738 8.689 8.149
angles: 90.00 91.23 90.00
Space group P2_1/m (No. 11)
Inequivalent atoms, fractional coordinates:
Cs: 0.000 0.250 0.195 x2
P: 0.408 0.250 0.609 x2
Au: 0.071 0.750 0.314 x2
Au: 0.496 0.085 0.869 x4
Au: 0.500 0.000 0.500 x2

Summary:
crystal system: monoclinic
electronic total energy: -41.1 eV/cell
energy of formation: -0.193 eV per atom

---

CsPAu after structural relaxation, computed with PBE-GGA.

abc: 7.083 13.152 8.330
angles: 90.00 90.00 90.00
Space group Cmce (No. 64)
Inequivalent atoms, fractional coordinates:
Cs: 0.000 0.153 0.119 x8
P: 0.000 0.079 0.554 x8
Au: 0.250 0.078 0.750 x8

Summary:
crystal system: orthorhombic
electronic total energy: -88.5 eV/cell
polymorph energy (0 for the lowest one): 0.000 eV/atom
energy of formation: -0.507 eV per atom

---

CsPAu after structural relaxation, computed with PBE-GGA.

abc: 4.1962 4.1962 5.9113
angles: 90.00 90.00 120.00
Space group P-6m2 (No. 187)
Inequivalent atoms, fractional coordinates:
Cs: 0.0000 0.0000 0.0000 x1
P: 0.6667 0.3333 0.5000 x1
Au: 0.3333 0.6667 0.5000 x1

Summary:
crystal system: hexagonal
N(E_F): 1.54 states/eV per cell
electronic total energy: -10.5 eV/cell
polymorph energy (0 for the lowest one): 0.204 eV/atom
energy of formation: -0.303 eV per atom

---

CsP2Pt4Au after structural relaxation, computed with PBE-GGA.

abc: 4.033 4.033 10.907
angles: 90.00 90.00 90.00
Space group P4/mmm (No. 123)
Inequivalent atoms, fractional coordinates:
Cs: 0.000 0.000 0.000 x1
P: 0.500 0.500 0.214 x2
Pt: 0.000 0.500 0.319 x4
Au: 0.000 0.000 0.500 x1

Summary:
crystal system: tetragonal
N(E_F): 4.23 states/eV per cell
electronic total energy: -42.0 eV/cell
energy of formation: -0.359 eV per atom

---

CsRe2PAu after structural relaxation, computed with PBE-GGA.

abc: 5.074 5.074 5.144
angles: 90.00 90.00 90.00
Space group P4/mmm (No. 123)
Inequivalent atoms, fractional coordinates:
Cs: 0.000 0.000 0.000 x1
Re: 0.000 0.500 0.000 x2
P: 0.000 0.000 0.500 x1
Au: 0.500 0.500 0.500 x1

Summary:
crystal system: tetragonal
N(E_F): 5.22 states/eV per cell
electronic total energy: -15.9 eV/cell
energy of formation: 3.707 eV per atom